<one>
Here is a relaxed structure of AcAsRh from Alexandria. Energies are from PBE-GGA.

Cell and atoms, written as extended XYZ:
```
6
Lattice="3.855 -2.222 0.000 3.855 2.222 0.000 -2.531 0.000 9.642" Properties=species:S:1:pos:R:3 pbc="T T T"
Ac 0.001 0.000 1.947
Ac 5.177 0.000 7.695
As 0.028 0.000 5.186
As 5.151 0.000 4.457
Rh 2.570 0.000 0.032
Rh 2.608 0.000 9.610
```

Values from the calculation:
Its crystal system is monoclinic. The symmetry is No. 12.


<two>
Here is a relaxed structure of AcAsRh from Alexandria. Energies are from PBE-GGA.

Cell and atoms, written as extended XYZ:
```
3
Lattice="4.353 0.000 0.000 -2.177 3.770 0.000 0.000 0.000 4.373" Properties=species:S:1:pos:R:3 pbc="T T T"
Ac 0.000 0.000 0.000
As 0.000 2.513 2.186
Rh 2.177 1.257 2.186
```

Values from the calculation:
Its crystal system is hexagonal. The symmetry is No. 187.


Of them, the most stable is <two> and the least stable is <one>.


<one>
Here is a relaxed structure of AcAsRh from Alexandria. Energies are from PBE-GGA.

Cell and atoms, written as extended XYZ:
```
3
Lattice="-1.756 1.756 5.514 1.756 -1.756 5.514 1.756 1.756 -5.514" Properties=species:S:1:pos:R:3 pbc="T T T"
Ac 0.000 0.000 0.000
As 0.000 0.000 3.169
Rh 0.000 0.000 7.762
```

Values from the calculation:
Its crystal system is tetragonal. The symmetry is No. 107.


<two>
Here is a relaxed structure of AcAsRh from Alexandria. Energies are from PBE-GGA.

Cell and atoms, written as extended XYZ:
```
6
Lattice="5.546 -2.187 0.000 5.546 2.187 0.000 -4.585 0.000 5.855" Properties=species:S:1:pos:R:3 pbc="T T T"
Ac -0.848 0.000 1.767
Ac 7.356 0.000 4.087
As 2.330 0.000 1.313
As 4.177 0.000 4.542
Rh -0.420 0.000 5.212
Rh 6.928 0.000 0.642
```

Values from the calculation:
Its crystal system is monoclinic. The symmetry is No. 12.


Of them, the most stable is <two> and the least stable is <one>.